[1]
# PuThTe2Se, relaxed, DFT GGA-PBE
# raw formation energy: -1.113 eV/atom
# calculated volume: 29.4 A^3/atom
# raw total energy: -0.545 Ry per atom
# DOS(E_F): 12.87 states/eV/f.u.
data_PuThTe2Se
_space_group_name_H-M_alt 'P 4/n m m'
_space_group_IT_number 129
_cell_length_a 4.367
_cell_length_b 4.367
_cell_length_c 15.391
_cell_angle_alpha 90.00
_cell_angle_beta 90.00
_cell_angle_gamma 90.00
loop_
_space_group_symop_operation_xyz
'x,y,z'
'-x,-y,-z'
'-y+1/2,x,z'
'y+1/2,-x,-z'
'-x+1/2,-y+1/2,z'
'x+1/2,y+1/2,-z'
'y,-x+1/2,z'
'-y,x+1/2,-z'
'x+1/2,-y,-z'
'-x+1/2,y,z'
'-y,-x,-z'
'y,x,z'
'-x,y+1/2,-z'
'x,-y+1/2,z'
'y+1/2,x+1/2,-z'
'-y+1/2,-x+1/2,z'
loop_
_atom_site_label
_atom_site_fract_x
_atom_site_fract_y
_atom_site_fract_z
Pu1 0.250 0.250 0.130
Th1 0.250 0.250 0.587
Te1 0.250 0.250 0.372
Te2 0.250 0.250 0.794
Se1 0.250 0.750 0.000

[2]
# PuThTeSe, relaxed, DFT GGA-PBE
# raw formation energy: -1.310 eV/atom
# calculated volume: 28.2 A^3/atom
# raw total energy: -0.618 Ry per atom
# ΔE to the lowest computed polymorph: 0.0 meV/atom
# DOS(E_F): 7.54 states/eV/f.u.
data_PuThTeSe
_space_group_name_H-M_alt 'R 3 m'
_space_group_IT_number 160
_space_group_name_Hall 'R 3 -2"'
_cell_length_a 4.2512
_cell_length_b 4.2512
_cell_length_c 21.6053
_cell_angle_alpha 90.00
_cell_angle_beta 90.00
_cell_angle_gamma 120.00
loop_
_atom_site_label
_atom_site_fract_x
_atom_site_fract_y
_atom_site_fract_z
Pu1 0.0000 0.0000 0.0000
Th1 0.0000 0.0000 0.5182
Te1 0.0000 0.0000 0.7570
Se1 0.0000 0.0000 0.2631

[3]
# PuThTeSe2, relaxed, DFT GGA-PBE
# raw formation energy: -1.163 eV/atom
# calculated volume: 29.8 A^3/atom
# raw total energy: -0.554 Ry per atom
# DOS(E_F): 11.88 states/eV/f.u.
data_PuThTeSe2
_space_group_name_H-M_alt 'I 4 m m'
_space_group_IT_number 107
_space_group_name_Hall 'I 4 -2'
_cell_length_a 4.635
_cell_length_b 4.635
_cell_length_c 13.870
_cell_angle_alpha 90.00
_cell_angle_beta 90.00
_cell_angle_gamma 90.00
loop_
_atom_site_label
_atom_site_fract_x
_atom_site_fract_y
_atom_site_fract_z
Pu1 0.000 0.000 0.000
Th1 0.000 0.000 0.253
Te1 0.000 0.000 0.631
Se1 0.000 0.500 0.376

[4]
# PuThTeSe, relaxed, DFT GGA-PBE
# raw formation energy: -1.117 eV/atom
# calculated volume: 26.1 A^3/atom
# raw total energy: -0.604 Ry per atom
# ΔE to the lowest computed polymorph: 193.2 meV/atom
# DOS(E_F): 7.73 states/eV/f.u.
data_PuThTeSe
_space_group_name_H-M_alt 'F -4 3 m'
_space_group_IT_number 216
_space_group_name_Hall 'F -4 2 3'
_cell_length_a 7.473
_cell_length_b 7.473
_cell_length_c 7.473
_cell_angle_alpha 90.00
_cell_angle_beta 90.00
_cell_angle_gamma 90.00
loop_
_atom_site_label
_atom_site_fract_x
_atom_site_fract_y
_atom_site_fract_z
Pu1 0.000 0.000 0.000
Th1 0.000 0.000 0.500
Te1 0.250 0.250 0.750
Se1 0.250 0.250 0.250

[5]
# Pu2Tl2TeSe6, relaxed, DFT GGA-PBE
# raw formation energy: -0.786 eV/atom
# calculated volume: 31.9 A^3/atom
# raw total energy: -0.442 Ry per atom
# DOS(E_F): 19.56 states/eV/f.u.
data_Pu2Tl2TeSe6
_space_group_name_H-M_alt 'C 1 2/m 1'
_space_group_IT_number 12
_space_group_name_Hall '-C 2y'
_cell_length_a 7.288
_cell_length_b 12.523
_cell_length_c 8.098
_cell_angle_alpha 90.00
_cell_angle_beta 108.08
_cell_angle_gamma 90.00
loop_
_atom_site_label
_atom_site_fract_x
_atom_site_fract_y
_atom_site_fract_z
Pu1 0.000 0.168 0.000
Tl1 0.000 0.329 0.500
Te1 0.000 0.500 0.000
Se1 0.237 0.336 0.205
Se2 0.243 0.000 0.203

[6]
# Pu2TlTeSe4, relaxed, DFT GGA-PBE
# raw formation energy: -0.853 eV/atom
# calculated volume: 27.1 A^3/atom
# raw total energy: -0.505 Ry per atom
# DOS(E_F): 18.88 states/eV/f.u.
data_Pu2TlTeSe4
_space_group_name_H-M_alt 'C m c m'
_space_group_IT_number 63
_space_group_name_Hall '-C 2c 2'
_cell_length_a 4.067
_cell_length_b 14.324
_cell_length_c 14.895
_cell_angle_alpha 90.00
_cell_angle_beta 90.00
_cell_angle_gamma 90.00
loop_
_atom_site_label
_atom_site_fract_x
_atom_site_fract_y
_atom_site_fract_z
Pu1 0.000 0.124 0.081
Tl1 0.000 0.326 0.250
Te1 0.000 0.382 0.750
Se1 0.000 0.022 0.750
Se2 0.000 0.230 0.586
Se3 0.000 0.500 0.000

[7]
# TmPuTeSe2, relaxed, DFT GGA-PBE
# raw formation energy: -1.119 eV/atom
# calculated volume: 28.7 A^3/atom
# raw total energy: -0.507 Ry per atom
# DOS(E_F): 14.28 states/eV/f.u.
data_TmPuTeSe2
_space_group_name_H-M_alt 'I 4 m m'
_space_group_IT_number 107
_space_group_name_Hall 'I 4 -2'
_cell_length_a 4.541
_cell_length_b 4.541
_cell_length_c 13.938
_cell_angle_alpha 90.00
_cell_angle_beta 90.00
_cell_angle_gamma 90.00
loop_
_atom_site_label
_atom_site_fract_x
_atom_site_fract_y
_atom_site_fract_z
Tm1 0.000 0.000 0.000
Pu1 0.000 0.000 0.263
Te1 0.000 0.000 0.638
Se1 0.000 0.500 0.389

[8]
# TmPuTeSe, relaxed, DFT GGA-PBE
# raw formation energy: -1.392 eV/atom
# calculated volume: 26.6 A^3/atom
# raw total energy: -0.570 Ry per atom
# DOS(E_F): 8.53 states/eV/f.u.
data_TmPuTeSe
_space_group_name_H-M_alt 'R 3 m'
_space_group_IT_number 160
_space_group_name_Hall 'R 3 -2"'
_cell_length_a 4.1709
_cell_length_b 4.1709
_cell_length_c 21.2081
_cell_angle_alpha 90.00
_cell_angle_beta 90.00
_cell_angle_gamma 120.00
loop_
_atom_site_label
_atom_site_fract_x
_atom_site_fract_y
_atom_site_fract_z
Tm1 0.0000 0.0000 0.0000
Pu1 0.0000 0.0000 0.5168
Te1 0.0000 0.0000 0.7549
Se1 0.0000 0.0000 0.2620

[9]
# TmPu2Te2Se2, relaxed, DFT GGA-PBE
# raw formation energy: -1.141 eV/atom
# calculated volume: 31.2 A^3/atom
# raw total energy: -0.571 Ry per atom
# DOS(E_F): 25.76 states/eV/f.u.
data_TmPu2Te2Se2
_space_group_name_H-M_alt 'I 4/m m m'
_space_group_IT_number 139
_space_group_name_Hall '-I 4 2'
_cell_length_a 5.252
_cell_length_b 5.252
_cell_length_c 15.861
_cell_angle_alpha 90.00
_cell_angle_beta 90.00
_cell_angle_gamma 90.00
loop_
_atom_site_label
_atom_site_fract_x
_atom_site_fract_y
_atom_site_fract_z
Tm1 0.000 0.000 0.000
Pu1 0.000 0.000 0.380
Te1 0.000 0.000 0.187
Se1 0.000 0.500 0.000

[10]
# PuUTeSe, relaxed, DFT GGA-PBE
# raw formation energy: -0.656 eV/atom
# calculated volume: 24.5 A^3/atom
# raw total energy: -0.641 Ry per atom
# DOS(E_F): 15.78 states/eV/f.u.
data_PuUTeSe
_space_group_name_H-M_alt 'F -4 3 m'
_space_group_IT_number 216
_space_group_name_Hall 'F -4 2 3'
_cell_length_a 7.323
_cell_length_b 7.323
_cell_length_c 7.323
_cell_angle_alpha 90.00
_cell_angle_beta 90.00
_cell_angle_gamma 90.00
loop_
_atom_site_label
_atom_site_fract_x
_atom_site_fract_y
_atom_site_fract_z
Pu1 0.000 0.000 0.000
U1 0.000 0.000 0.500
Te1 0.250 0.250 0.750
Se1 0.250 0.250 0.250

[11]
# PuUTeSe2, relaxed, DFT GGA-PBE
# raw formation energy: -0.796 eV/atom
# calculated volume: 27.2 A^3/atom
# raw total energy: -0.584 Ry per atom
# DOS(E_F): 20.65 states/eV/f.u.
data_PuUTeSe2
_space_group_name_H-M_alt 'I 4 m m'
_space_group_IT_number 107
_space_group_name_Hall 'I 4 -2'
_cell_length_a 4.473
_cell_length_b 4.473
_cell_length_c 13.600
_cell_angle_alpha 90.00
_cell_angle_beta 90.00
_cell_angle_gamma 90.00
loop_
_atom_site_label
_atom_site_fract_x
_atom_site_fract_y
_atom_site_fract_z
Pu1 0.000 0.000 0.000
U1 0.000 0.000 0.238
Te1 0.000 0.000 0.620
Se1 0.000 0.500 0.365

[12]
# YPuTeSe, relaxed, DFT GGA-PBE
# raw formation energy: -1.447 eV/atom
# calculated volume: 27.3 A^3/atom
# raw total energy: -0.610 Ry per atom
# DOS(E_F): 9.18 states/eV/f.u.
data_YPuTeSe
_space_group_name_H-M_alt 'R 3 m'
_space_group_IT_number 160
_space_group_name_Hall 'R 3 -2"'
_cell_length_a 4.2146
_cell_length_b 4.2146
_cell_length_c 21.2615
_cell_angle_alpha 90.00
_cell_angle_beta 90.00
_cell_angle_gamma 120.00
loop_
_atom_site_label
_atom_site_fract_x
_atom_site_fract_y
_atom_site_fract_z
Y1 0.0000 0.0000 0.0000
Pu1 0.0000 0.0000 0.4837
Te1 0.0000 0.0000 0.2436
Se1 0.0000 0.0000 0.7404

What did the fifth record say?
# Pu2Tl2TeSe6, relaxed, DFT GGA-PBE
# raw formation energy: -0.786 eV/atom
# calculated volume: 31.9 A^3/atom
# raw total energy: -0.442 Ry per atom
# DOS(E_F): 19.56 states/eV/f.u.
data_Pu2Tl2TeSe6
_space_group_name_H-M_alt 'C 1 2/m 1'
_space_group_IT_number 12
_space_group_name_Hall '-C 2y'
_cell_length_a 7.288
_cell_length_b 12.523
_cell_length_c 8.098
_cell_angle_alpha 90.00
_cell_angle_beta 108.08
_cell_angle_gamma 90.00
loop_
_atom_site_label
_atom_site_fract_x
_atom_site_fract_y
_atom_site_fract_z
Pu1 0.000 0.168 0.000
Tl1 0.000 0.329 0.500
Te1 0.000 0.500 0.000
Se1 0.237 0.336 0.205
Se2 0.243 0.000 0.203

Q: Look up the DOS(E_F) of the eleventh one.
A: 20.65 states/eV/f.u.

Please write out number 3 again, unchanged.
# PuThTeSe2, relaxed, DFT GGA-PBE
# raw formation energy: -1.163 eV/atom
# calculated volume: 29.8 A^3/atom
# raw total energy: -0.554 Ry per atom
# DOS(E_F): 11.88 states/eV/f.u.
data_PuThTeSe2
_space_group_name_H-M_alt 'I 4 m m'
_space_group_IT_number 107
_space_group_name_Hall 'I 4 -2'
_cell_length_a 4.635
_cell_length_b 4.635
_cell_length_c 13.870
_cell_angle_alpha 90.00
_cell_angle_beta 90.00
_cell_angle_gamma 90.00
loop_
_atom_site_label
_atom_site_fract_x
_atom_site_fract_y
_atom_site_fract_z
Pu1 0.000 0.000 0.000
Th1 0.000 0.000 0.253
Te1 0.000 0.000 0.631
Se1 0.000 0.500 0.376